DFT (GGA+U) results for an optimized crystal structure of AgW3O.

```
AgW3O
1.0
-3.968 0.164 3.332
-1.127 -4.939 -1.098
3.140 -1.565 3.816
O Ag W
1 1 3
Cartesian
-0.977 -3.170 3.025
0.000 0.000 0.000
-0.563 -2.470 -0.549
1.570 -0.783 1.908
-1.984 0.082 1.666
```

Energy relative to the lowest polymorph listed for this composition   1926 meV/atom
SG   Pm-3m
VASP energy   -3.147 eV per atom